*one*
This record from Alexandria describes a relaxed structure of CsK2Bi2. The functional is PBE-GGA.

D(E_F) in states/eV per cell: 8.248
Symmetry: P4/mbm (127)
Size of the total moment in μB per cell: 0.00

a b c (Å): 9.769 9.769 5.086
angles (deg): 90.00 90.00 90.00
Sites, in units of the cell vectors:
Cs1 0.000 0.000 0.000
Cs2 0.500 0.500 0.000
K1 0.165 0.335 0.500
K2 0.335 0.835 0.500
K3 0.665 0.165 0.500
K4 0.835 0.665 0.500
Bi1 0.109 0.609 0.000
Bi2 0.391 0.109 0.000
Bi3 0.609 0.891 0.000
Bi4 0.891 0.391 0.000

---

*two*
This record from Alexandria describes a relaxed structure of CsK2Bi2. The functional is PBE-GGA.

D(E_F) in states/eV per cell: 3.872
Symmetry: P4/mbm (127)
Size of the total moment in μB per cell: 0.00

a b c (Å): 9.910 9.910 4.400
angles (deg): 90.00 90.00 90.00
Sites, in units of the cell vectors:
Cs1 0.000 0.000 0.000
Cs2 0.500 0.500 0.000
K1 0.171 0.329 0.000
K2 0.329 0.829 0.000
K3 0.671 0.171 0.000
K4 0.829 0.671 0.000
Bi1 0.112 0.612 0.500
Bi2 0.388 0.112 0.500
Bi3 0.612 0.888 0.500
Bi4 0.888 0.388 0.500

---

*three*
This record from Alexandria describes a relaxed structure of CsK2Bi2. The functional is PBE-GGA.

D(E_F) in states/eV per cell: 7.526
Symmetry: I4/mmm (139)
Size of the total moment in μB per cell: 0.00

a b c (Å): 8.432 8.432 8.432
angles (deg): 139.37 139.37 58.81
Sites, in units of the cell vectors:
Cs1 0.000 0.000 0.000
K1 0.250 0.750 0.500
K2 0.750 0.250 0.500
Bi1 0.400 0.400 0.000
Bi2 0.600 0.600 0.000

---

Ordering by calculated energy gives the sequence *one*, *three*, *two*, with the first entry being the most stable.

---

*one*
This record from Alexandria describes a relaxed structure of Cs2KBi2. The functional is PBE-GGA.

D(E_F) in states/eV per cell: 8.109
Symmetry: P4/mbm (127)
Size of the total moment in μB per cell: 0.00

a b c (Å): 11.599 11.599 3.629
angles (deg): 90.00 90.00 90.00
Sites, in units of the cell vectors:
Cs1 0.117 0.383 0.000
Cs2 0.383 0.883 0.000
Cs3 0.617 0.117 0.000
Cs4 0.883 0.617 0.000
K1 0.000 0.000 0.000
K2 0.500 0.500 0.000
Bi1 0.181 0.681 0.500
Bi2 0.319 0.181 0.500
Bi3 0.681 0.819 0.500
Bi4 0.819 0.319 0.500

---

*two*
This record from Alexandria describes a relaxed structure of Cs2KBi2. The functional is PBE-GGA.

D(E_F) in states/eV per cell: 4.158
Symmetry: I4/mmm (139)
Size of the total moment in μB per cell: 0.00

a b c (Å): 8.362 8.362 8.362
angles (deg): 134.86 134.86 65.75
Sites, in units of the cell vectors:
Cs1 0.128 0.128 0.000
Cs2 0.872 0.872 0.000
K1 0.500 0.500 0.000
Bi1 0.250 0.750 0.500
Bi2 0.750 0.250 0.500

---

Ordering by calculated energy gives the sequence *one*, *two*, with the first entry being the most stable.

---

*one*
This record from Alexandria describes a relaxed structure of CsKBi. The functional is PBE-GGA.

D(E_F) in states/eV per cell: 1.604
Symmetry: P3m1 (156)
Size of the total moment in μB per cell: 0.00

a b c (Å): 6.235 6.235 3.761
angles (deg): 90.00 90.00 120.00
Sites, in units of the cell vectors:
Cs1 0.000 0.000 0.000
K1 0.333 0.667 0.059
Bi1 0.667 0.333 0.519

---

*two*
This record from Alexandria describes a relaxed structure of CsKBi. The functional is PBE-GGA.

D(E_F) in states/eV per cell: 2.672
Symmetry: I4mm (107)
Size of the total moment in μB per cell: 0.05

a b c (Å): 7.433 7.433 7.433
angles (deg): 142.85 142.85 53.55
Sites, in units of the cell vectors:
Cs1 0.000 0.000 0.000
K1 0.714 0.714 0.000
Bi1 0.329 0.329 0.000

---

*three*
This record from Alexandria describes a relaxed structure of CsKBi. The functional is PBE-GGA.

D(E_F) in states/eV per cell: 4.333
Symmetry: C2/m (12)
Size of the total moment in μB per cell: 0.00

a b c (Å): 6.128 6.128 9.406
angles (deg): 90.04 90.04 59.99
Sites, in units of the cell vectors:
Cs1 0.166 0.166 0.133
Cs2 0.834 0.834 0.867
K1 0.167 0.167 0.565
K2 0.833 0.833 0.435
Bi1 0.500 0.500 0.330
Bi2 0.500 0.500 0.670

---

Ordering by calculated energy gives the sequence *three*, *one*, *two*, with the first entry being the most stable.

---

*one*
This record from Alexandria describes a relaxed structure of CsK2LiBi. The functional is PBE-GGA.

D(E_F) in states/eV per cell: 2.240
Symmetry: P4/mmm (123)
Size of the total moment in μB per cell: 0.00

a b c (Å): 7.084 7.084 5.557
angles (deg): 90.00 90.00 90.00
Sites, in units of the cell vectors:
Cs1 0.000 0.000 0.000
K1 0.000 0.500 0.500
K2 0.500 0.000 0.500
Li1 0.500 0.500 0.000
Bi1 0.500 0.500 0.500

---

*two*
This record from Alexandria describes a relaxed structure of CsK2LiBi. The functional is PBE-GGA.

D(E_F) in states/eV per cell: 1.842
Symmetry: P4/mmm (123)
Size of the total moment in μB per cell: 0.63

a b c (Å): 6.572 6.572 5.363
angles (deg): 90.00 90.00 90.00
Sites, in units of the cell vectors:
Cs1 0.000 0.000 0.000
K1 0.000 0.500 0.500
K2 0.500 0.000 0.500
Li1 0.500 0.500 0.500
Bi1 0.500 0.500 0.000

---

Ordering by calculated energy gives the sequence *one*, *two*, with the first entry being the most stable.

---

*one*
This record from Alexandria describes a relaxed structure of CsKNa2Bi. The functional is PBE-GGA.

D(E_F) in states/eV per cell: 2.687
Symmetry: P4/mmm (123)
Size of the total moment in μB per cell: 0.00

a b c (Å): 6.290 6.290 6.949
angles (deg): 90.00 90.00 90.00
Sites, in units of the cell vectors:
Cs1 0.000 0.000 0.000
K1 0.500 0.500 0.000
Na1 0.000 0.500 0.500
Na2 0.500 0.000 0.500
Bi1 0.500 0.500 0.500

---

*two*
This record from Alexandria describes a relaxed structure of CsKNa2Bi. The functional is PBE-GGA.

D(E_F) in states/eV per cell: 3.999
Symmetry: P4/mmm (123)
Size of the total moment in μB per cell: 0.01

a b c (Å): 6.243 6.243 7.570
angles (deg): 90.00 90.00 90.00
Sites, in units of the cell vectors:
Cs1 0.000 0.000 0.000
K1 0.500 0.500 0.000
Na1 0.000 0.500 0.500
Na2 0.500 0.000 0.500
Bi1 0.000 0.000 0.500

---

Ordering by calculated energy gives the sequence *one*, *two*, with the first entry being the most stable.

---

*one*
This record from Alexandria describes a relaxed structure of CsLaBi2. The functional is PBE-GGA.

D(E_F) in states/eV per cell: 1.433
Symmetry: I-42d (122)
Size of the total moment in μB per cell: 0.00

a b c (Å): 11.555 11.555 11.555
angles (deg): 146.30 146.30 48.41
Sites, in units of the cell vectors:
Cs1 0.000 0.000 0.000
Cs2 0.750 0.250 0.500
La1 0.250 0.750 0.500
La2 0.500 0.500 0.000
Bi1 0.306 0.625 0.181
Bi2 0.375 0.556 0.681
Bi3 0.444 0.125 0.819
Bi4 0.875 0.694 0.319

---

*two*
This record from Alexandria describes a relaxed structure of CsLaBi2. The functional is PBE-GGA.

D(E_F) in states/eV per cell: 8.197
Symmetry: Fm-3m (225)
Size of the total moment in μB per cell: 0.00

a b c (Å): 6.004 6.004 6.004
angles (deg): 60.00 60.00 60.00
Sites, in units of the cell vectors:
Cs1 0.000 0.000 0.000
La1 0.500 0.500 0.500
Bi1 0.250 0.250 0.250
Bi2 0.750 0.750 0.750

---

Ordering by calculated energy gives the sequence *one*, *two*, with the first entry being the most stable.

---

*one*
This record from Alexandria describes a relaxed structure of CsLaBi2. The functional is PBE-GGA.

D(E_F) in states/eV per cell: 3.925
Symmetry: R-3m (166)
Size of the total moment in μB per cell: 0.00

a b c (Å): 8.968 8.968 8.968
angles (deg): 33.10 33.10 33.10
Sites, in units of the cell vectors:
Cs1 0.000 0.000 0.000
La1 0.500 0.500 0.500
Bi1 0.224 0.224 0.224
Bi2 0.776 0.776 0.776

---

*two*
This record from Alexandria describes a relaxed structure of CsLaBi2. The functional is PBE-GGA.

D(E_F) in states/eV per cell: 1.509
Symmetry: P4/mmm (123)
Size of the total moment in μB per cell: 0.00

a b c (Å): 4.452 4.452 8.279
angles (deg): 90.00 90.00 90.00
Sites, in units of the cell vectors:
Cs1 0.000 0.000 0.000
La1 0.000 0.000 0.500
Bi1 0.500 0.500 0.316
Bi2 0.500 0.500 0.684

---

Ordering by calculated energy gives the sequence *two*, *one*, with the first entry being the most stable.

---

*one*
This record from Alexandria describes a relaxed structure of CsLa3Bi. The functional is PBE-GGA.

D(E_F) in states/eV per cell: 9.807
Symmetry: Pm-3m (221)
Size of the total moment in μB per cell: 3.03

a b c (Å): 6.359 6.359 6.359
angles (deg): 90.00 90.00 90.00
Sites, in units of the cell vectors:
Cs1 0.000 0.000 0.000
La1 0.000 0.500 0.500
La2 0.500 0.000 0.500
La3 0.500 0.500 0.000
Bi1 0.500 0.500 0.500

---

*two*
This record from Alexandria describes a relaxed structure of CsLa3Bi. The functional is PBE-GGA.

D(E_F) in states/eV per cell: 4.856
Symmetry: Pm-3m (221)
Size of the total moment in μB per cell: 0.00

a b c (Å): 5.842 5.842 5.842
angles (deg): 90.00 90.00 90.00
Sites, in units of the cell vectors:
Cs1 0.000 0.000 0.000
La1 0.000 0.000 0.500
La2 0.000 0.500 0.000
La3 0.500 0.000 0.000
Bi1 0.500 0.500 0.500

---

Ordering by calculated energy gives the sequence *one*, *two*, with the first entry being the most stable.

---

*one*
This record from Alexandria describes a relaxed structure of CsLi2Bi2. The functional is PBE-GGA.

D(E_F) in states/eV per cell: 1.805
Symmetry: P4/mbm (127)
Size of the total moment in μB per cell: 0.00

a b c (Å): 9.383 9.383 3.434
angles (deg): 90.00 90.00 90.00
Sites, in units of the cell vectors:
Cs1 0.000 0.000 0.000
Cs2 0.500 0.500 0.000
Li1 0.134 0.366 0.000
Li2 0.366 0.866 0.000
Li3 0.634 0.134 0.000
Li4 0.866 0.634 0.000
Bi1 0.137 0.637 0.500
Bi2 0.363 0.137 0.500
Bi3 0.637 0.863 0.500
Bi4 0.863 0.363 0.500

---

*two*
This record from Alexandria describes a relaxed structure of CsLi2Bi2. The functional is PBE-GGA.

D(E_F) in states/eV per cell: 5.054
Symmetry: P4/mbm (127)
Size of the total moment in μB per cell: 0.00

a b c (Å): 9.713 9.713 3.406
angles (deg): 90.00 90.00 90.00
Sites, in units of the cell vectors:
Cs1 0.000 0.000 0.000
Cs2 0.500 0.500 0.000
Li1 0.134 0.366 0.500
Li2 0.366 0.866 0.500
Li3 0.634 0.134 0.500
Li4 0.866 0.634 0.500
Bi1 0.133 0.633 0.000
Bi2 0.367 0.133 0.000
Bi3 0.633 0.867 0.000
Bi4 0.867 0.367 0.000

---

*three*
This record from Alexandria describes a relaxed structure of CsLi2Bi2. The functional is PBE-GGA.

D(E_F) in states/eV per cell: 3.596
Symmetry: I4/mmm (139)
Size of the total moment in μB per cell: 0.00

a b c (Å): 6.870 6.870 6.870
angles (deg): 134.27 134.27 66.67
Sites, in units of the cell vectors:
Cs1 0.000 0.000 0.000
Li1 0.250 0.750 0.500
Li2 0.750 0.250 0.500
Bi1 0.369 0.369 0.000
Bi2 0.631 0.631 0.000

---

Ordering by calculated energy gives the sequence *three*, *one*, *two*, with the first entry being the most stable.

---

*one*
This record from Alexandria describes a relaxed structure of CsLiBi3. The functional is PBE-GGA.

D(E_F) in states/eV per cell: 6.296
Symmetry: Pm-3m (221)
Size of the total moment in μB per cell: 0.00

a b c (Å): 6.400 6.400 6.400
angles (deg): 90.00 90.00 90.00
Sites, in units of the cell vectors:
Cs1 0.000 0.000 0.000
Li1 0.500 0.500 0.500
Bi1 0.000 0.000 0.500
Bi2 0.000 0.500 0.000
Bi3 0.500 0.000 0.000

---

*two*
This record from Alexandria describes a relaxed structure of CsLiBi3. The functional is PBE-GGA.

D(E_F) in states/eV per cell: 3.081
Symmetry: Pm-3m (221)
Size of the total moment in μB per cell: 0.00

a b c (Å): 5.526 5.526 5.526
angles (deg): 90.00 90.00 90.00
Sites, in units of the cell vectors:
Cs1 0.000 0.000 0.000
Li1 0.500 0.500 0.500
Bi1 0.000 0.500 0.500
Bi2 0.500 0.000 0.500
Bi3 0.500 0.500 0.000

---

Ordering by calculated energy gives the sequence *two*, *one*, with the first entry being the most stable.

---

*one*
This record from Alexandria describes a relaxed structure of Cs2Li2Bi. The functional is PBE-GGA.

D(E_F) in states/eV per cell: 2.072
Symmetry: R-3m (166)
Size of the total moment in μB per cell: 0.00

a b c (Å): 11.890 11.890 11.890
angles (deg): 24.14 24.14 24.14
Sites, in units of the cell vectors:
Cs1 0.071 0.071 0.071
Cs2 0.929 0.929 0.929
Li1 0.176 0.176 0.176
Li2 0.824 0.824 0.824
Bi1 0.500 0.500 0.500

---

*two*
This record from Alexandria describes a relaxed structure of Cs2Li2Bi. The functional is PBE-GGA.

D(E_F) in states/eV per cell: 4.876
Symmetry: P4/mbm (127)
Size of the total moment in μB per cell: 0.00

a b c (Å): 7.900 7.900 6.427
angles (deg): 90.00 90.00 90.00
Sites, in units of the cell vectors:
Cs1 0.202 0.298 0.000
Cs2 0.298 0.798 0.000
Cs3 0.702 0.202 0.000
Cs4 0.798 0.702 0.000
Li1 0.169 0.669 0.500
Li2 0.331 0.169 0.500
Li3 0.669 0.831 0.500
Li4 0.831 0.331 0.500
Bi1 0.000 0.000 0.500
Bi2 0.500 0.500 0.500

---

Ordering by calculated energy gives the sequence *one*, *two*, with the first entry being the most stable.

---

*one*
This record from Alexandria describes a relaxed structure of CsNaLiBi. The functional is PBE-GGA.

D(E_F) in states/eV per cell: 0.070
Symmetry: F-43m (216)
Size of the total moment in μB per cell: 0.00

a b c (Å): 5.706 5.706 5.706
angles (deg): 60.00 60.00 60.00
Sites, in units of the cell vectors:
Cs1 0.000 0.000 0.000
Na1 0.750 0.750 0.750
Li1 0.250 0.250 0.250
Bi1 0.500 0.500 0.500

---

*two*
This record from Alexandria describes a relaxed structure of CsNaLiBi. The functional is PBE-GGA.

D(E_F) in states/eV per cell: 0.500
Symmetry: R3m (160)
Size of the total moment in μB per cell: 0.00

a b c (Å): 7.602 7.602 7.602
angles (deg): 40.21 40.21 40.21
Sites, in units of the cell vectors:
Cs1 0.000 0.000 0.000
Na1 0.180 0.180 0.180
Li1 0.469 0.469 0.469
Bi1 0.798 0.798 0.798

---

Ordering by calculated energy gives the sequence *two*, *one*, with the first entry being the most stable.